No. 1
## Li2TePb2 (PBE)

Data for crystalline Li2TePb2 at its relaxed geometry.

Cell: 7.1851 7.1851 4.9218 Å, 90.00 90.00 90.00°
Atoms (fractional coordinates):
Te1 0.5000 0.5000 0.0000
Te2 0.0000 0.0000 0.0000
Li1 0.6447 0.1447 0.0000
Li2 0.3553 0.8553 0.0000
Li3 0.8553 0.6447 0.0000
Li4 0.1447 0.3553 0.0000
Pb1 0.6569 0.8431 0.5000
Pb2 0.3431 0.1569 0.5000
Pb3 0.8431 0.3431 0.5000
Pb4 0.1569 0.6569 0.5000

Output
Spin magnetization in μB per cell: 0.00
Raw formation energy in eV per atom: -0.30
Space group: P4/mbm (127)
Crystal system: tetragonal

No. 2
## Li2Te2Pb (PBE)

Data for crystalline Li2Te2Pb at its relaxed geometry.

Cell: 6.8432 6.8432 6.8432 Å, 139.13 139.13 59.17°
Atoms (fractional coordinates):
Li1 0.6220 0.6220 0.0000
Li2 0.3780 0.3780 0.0000
Te1 0.2500 0.7500 0.5000
Te2 0.7500 0.2500 0.5000
Pb1 0.0000 0.0000 0.0000

Output
Spin magnetization in μB per cell: 0.00
Raw formation energy in eV per atom: -0.20
Space group: I4/mmm (139)
Crystal system: tetragonal

No. 3
## LiTe2Pb (PBE)

Data for crystalline LiTe2Pb at its relaxed geometry.

Cell: 6.5497 6.5497 8.3651 Å, 66.95 66.95 90.00°
Atoms (fractional coordinates):
Pb1 0.7500 0.2500 0.5000
Pb2 0.0000 0.0000 0.0000
Te1 0.1626 0.6250 0.2500
Te2 0.3750 0.4126 0.7500
Te3 0.8750 0.8374 0.7500
Te4 0.5874 0.1250 0.2500
Li1 0.2500 0.7500 0.5000
Li2 0.5000 0.5000 0.0000

Output
Spin magnetization in μB per cell: 0.00
Raw formation energy in eV per atom: -0.42
Space group: I-42d (122)
Crystal system: tetragonal

No. 4
## LiTe2Pb (PBE)

Data for crystalline LiTe2Pb at its relaxed geometry.

Cell: 7.4373 7.4373 7.4373 Å, 34.30 34.30 34.30°
Atoms (fractional coordinates):
Te1 0.2398 0.2398 0.2398
Te2 0.7602 0.7602 0.7602
Pb1 0.0000 0.0000 0.0000
Li1 0.5000 0.5000 0.5000

Output
Spin magnetization in μB per cell: 0.00
Raw formation energy in eV per atom: -0.47
Space group: R-3m (166)
Crystal system: trigonal

No. 5
## Li2TePb2 (PBE)

Data for crystalline Li2TePb2 at its relaxed geometry.

Cell: 4.4163 4.4163 7.5219 Å, 72.93 72.93 90.00°
Atoms (fractional coordinates):
Pb1 0.2500 0.7500 0.5000
Pb2 0.7500 0.2500 0.5000
Li1 0.4076 0.4076 0.1847
Li2 0.5924 0.5924 0.8153
Te1 0.0000 0.0000 0.0000

Output
Spin magnetization in μB per cell: 0.00
Raw formation energy in eV per atom: -0.15
Space group: I4/mmm (139)
Crystal system: tetragonal

No. 6
## LiTe2Pb (PBE)

Data for crystalline LiTe2Pb at its relaxed geometry.

Cell: 4.0261 4.0261 7.0662 Å, 90.00 90.00 90.00°
Atoms (fractional coordinates):
Li1 0.5000 0.5000 0.0000
Te1 0.0000 0.0000 0.7673
Te2 0.0000 0.0000 0.2327
Pb1 0.5000 0.5000 0.5000

Output
Spin magnetization in μB per cell: 0.00
Raw formation energy in eV per atom: -0.33
Space group: P4/mmm (123)
Crystal system: tetragonal

No. 7
## LiTePb (PBE)

Data for crystalline LiTePb at its relaxed geometry.

Cell: 6.3725 6.3719 3.7824 Å, 72.74 72.73 34.53°
Atoms (fractional coordinates):
Pb1 0.3468 0.3468 0.6532
Li1 0.0398 0.0398 0.9602
Te1 0.6134 0.6134 0.3866

Output
Spin magnetization in μB per cell: 0.00
Raw formation energy in eV per atom: -0.32
Space group: I4mm (107)
Crystal system: tetragonal

No. 8
## Li4TePb (PBE)

Data for crystalline Li4TePb at its relaxed geometry.

Cell: 5.6230 5.6230 5.6230 Å, 60.00 60.00 60.00°
Atoms (fractional coordinates):
Li1 0.3765 0.8704 0.3765
Li2 0.3765 0.3765 0.3765
Li3 0.3765 0.3765 0.8704
Li4 0.8704 0.3765 0.3765
Pb1 0.7500 0.7500 0.7500
Te1 0.0000 0.0000 0.0000

Output
Spin magnetization in μB per cell: 0.00
Raw formation energy in eV per atom: -0.19
Space group: F-43m (216)
Crystal system: cubic